(1)
DFT (PBE) results for an optimized crystal structure of BaNa4Ga.

Values from the calculation:
Volume = 33.69 Å³ per atom
Total magnetization = 0.00 μB per formula unit

Lattice parameters (Å, degrees): 6.587 6.587 6.587 60.00 60.00 60.00
Atoms (fractional coordinates):
Ba 0.000 0.000 0.000
Na 0.377 0.377 0.377
Na 0.377 0.377 0.868
Na 0.377 0.868 0.377
Na 0.868 0.377 0.377
Ga 0.750 0.750 0.750



(2)
DFT (PBE) results for an optimized crystal structure of BaNaGa.

Values from the calculation:
Volume = 34.00 Å³ per atom
Total magnetization = 0.00 μB per formula unit

Lattice parameters (Å, degrees): 6.519 6.519 6.519 142.50 142.50 54.08
Atoms (fractional coordinates):
Ba 0.000 0.000 0.000
Na 0.290 0.290 0.000
Ga 0.665 0.665 0.000



(3)
DFT (PBE) results for an optimized crystal structure of Ba6Na23Ga.

Values from the calculation:
Volume = 41.94 Å³ per atom
Total magnetization = 0.00 μB per formula unit

Lattice parameters (Å, degrees): 12.118 12.118 12.118 60.00 60.00 60.00
Atoms (fractional coordinates):
Ba 0.196 0.196 0.804
Ba 0.196 0.804 0.196
Ba 0.196 0.804 0.804
Ba 0.804 0.196 0.196
Ba 0.804 0.196 0.804
Ba 0.804 0.804 0.196
Na 0.000 0.000 0.500
Na 0.000 0.500 0.000
Na 0.000 0.500 0.500
Na 0.144 0.619 0.619
Na 0.172 0.172 0.172
Na 0.172 0.172 0.483
Na 0.172 0.483 0.172
Na 0.381 0.381 0.381
Na 0.381 0.381 0.856
Na 0.381 0.856 0.381
Na 0.483 0.172 0.172
Na 0.500 0.000 0.000
Na 0.500 0.000 0.500
Na 0.500 0.500 0.000
Na 0.500 0.500 0.500
Na 0.517 0.828 0.828
Na 0.619 0.144 0.619
Na 0.619 0.619 0.144
Na 0.619 0.619 0.619
Na 0.828 0.517 0.828
Na 0.828 0.828 0.517
Na 0.828 0.828 0.828
Na 0.856 0.381 0.381
Ga 0.000 0.000 0.000



(4)
DFT (PBE) results for an optimized crystal structure of BaNa2Ga2.

Values from the calculation:
Volume = 31.34 Å³ per atom
Total magnetization = 0.00 μB per formula unit

Lattice parameters (Å, degrees): 7.140 7.140 7.140 138.74 138.74 59.76
Atoms (fractional coordinates):
Ba 0.000 0.000 0.000
Na 0.250 0.750 0.500
Na 0.750 0.250 0.500
Ga 0.402 0.402 0.000
Ga 0.598 0.598 0.000



| no. | ΔE_f (eV/f.u.) | N(E_F) (states/eV/f.u.) |
| --- | --- | --- |
| 1 | 0.405 | 3.9 |
| 2 | -0.278 | 2.2 |
| 3 | -0.883 | 21.9 |
| 4 | -0.664 | 3.0 |